Computed, not measured: an optimized crystal structure of Nd12SmTm5 at the PBE level of DFT.

Geometry as CIF:
```
data_Nd12SmTm5
_symmetry_space_group_name_H-M 'P 1 2/m 1'
_symmetry_Int_Tables_number 10
_cell_length_a 10.857
_cell_length_b 5.139
_cell_length_c 10.876
_cell_angle_alpha 90.00
_cell_angle_beta 90.35
_cell_angle_gamma 90.00
loop_
_symmetry_equiv_pos_as_xyz
'x,y,z'
'-x,-y,-z'
'-x,y,-z'
'x,-y,z'
loop_
_atom_site_label
_atom_site_fract_x
_atom_site_fract_y
_atom_site_fract_z
Nd1 0.002 0.000 0.168
Nd2 0.166 0.500 0.666
Nd3 0.169 0.500 0.002
Nd4 0.332 0.000 0.498
Nd5 0.336 0.000 0.836
Nd6 0.498 0.500 0.331
Sm1 0.000 0.000 0.500
Tm1 0.168 0.500 0.332
Tm2 0.333 0.000 0.167
Tm3 0.500 0.500 0.000
```

Calculated values
Total moment = 0.0000 μB/atom
Total DFT energy (no corrections) = -4.660 eV/atom
ΔH_f (0 K) = 0.023 eV per atom